(1)
First-principles (PBEsol) data for ZnSb2IN after structural relaxation, as listed in the Alexandria database.

Output
* raw formation energy: 0.748 eV per atom
* symmetry: P4/mmm, No. 123

Cell lengths 4.8706, 4.7198, 4.7198 Å; angles 90.00, 90.00, 90.00 degrees
Last column: nearest neighbours and their distance in Å.
Sites, in units of the cell vectors:
N: 0.0000 0.0000 0.0000  4 Sb 2.36, 2 I 2.44
Sb: 0.0000 0.0000 0.5000  2 N 2.36
Sb: 0.0000 0.5000 0.0000  2 N 2.36
Zn: 0.5000 0.5000 0.5000  4 I 3.34, 8 Sb 3.39
I: 0.5000 0.0000 0.0000  2 N 2.44



(2)
First-principles (PBEsol) data for NiMoIr2 after structural relaxation, as listed in the Alexandria database.

Output
* symmetry: Pmmm, No. 47
* excess energy over the best structure of this formula in the dataset: 36 meV/atom
* formation energy: -0.7 eV/f.u.

Cell lengths 2.7087, 3.7036, 5.3791 Å; angles 90.00, 90.00, 90.00 degrees
Last column: nearest neighbours and their distance in Å.
Sites, in units of the cell vectors:
Ir: 0.0000 0.0000 0.7401  4 Ir 2.58-2.80, 4 Ni 2.63, 4 Mo 2.69
Ir: 0.0000 0.0000 0.2599  4 Ir 2.58-2.80, 4 Ni 2.63, 4 Mo 2.69
Ni: 0.5000 0.5000 0.5000  8 Ir 2.63, 2 Mo 2.69, 2 Ni 2.71
Mo: 0.5000 0.5000 0.0000  8 Ir 2.69, 2 Ni 2.69, 2 Mo 2.71



(3)
First-principles (PBEsol) data for Dy2HfS5 after structural relaxation, as listed in the Alexandria database.

Output
* raw formation energy: -1.967 eV per atom
* symmetry: Pnma, No. 62

Cell lengths 7.1395, 7.6430, 11.3305 Å; angles 90.00, 90.00, 90.00 degrees
Last column: nearest neighbours and their distance in Å.
Sites, in units of the cell vectors:
S: 0.3366 0.4615 0.0922  2 Hf 2.49-2.61, 1 Dy 2.78
S: 0.1634 0.0385 0.5922  2 Hf 2.49-2.61, 1 Dy 2.78
S: 0.8366 0.5385 0.4078  2 Hf 2.49-2.61, 1 Dy 2.78
S: 0.8333 0.7500 0.6820  1 Hf 2.64, 4 Dy 2.82-2.92
S: 0.3366 0.0385 0.0922  2 Hf 2.49-2.61, 1 Dy 2.78
S: 0.3333 0.2500 0.8180  1 Hf 2.64, 4 Dy 2.82-2.92
S: 0.1882 0.7500 0.2913  1 Hf 2.57, 4 Dy 2.78-2.80
S: 0.5512 0.2500 0.4967  1 Hf 2.66, 4 Dy 2.80-2.82
S: 0.6634 0.5385 0.9078  2 Hf 2.49-2.61, 1 Dy 2.78
S: 0.4488 0.7500 0.5033  1 Hf 2.66, 4 Dy 2.80-2.82
S: 0.8118 0.2500 0.7087  1 Hf 2.57, 4 Dy 2.78-2.80
S: 0.8366 0.9615 0.4078  2 Hf 2.49-2.61, 1 Dy 2.78
S: 0.6882 0.2500 0.2087  1 Hf 2.57, 4 Dy 2.78-2.80
S: 0.3118 0.7500 0.7913  1 Hf 2.57, 4 Dy 2.78-2.80
S: 0.0512 0.7500 0.0033  1 Hf 2.66, 4 Dy 2.80-2.82
S: 0.6634 0.9615 0.9078  2 Hf 2.49-2.61, 1 Dy 2.78
S: 0.6667 0.7500 0.1820  1 Hf 2.64, 4 Dy 2.82-2.92
S: 0.9488 0.2500 0.9967  1 Hf 2.66, 4 Dy 2.80-2.82
S: 0.1667 0.2500 0.3180  1 Hf 2.64, 4 Dy 2.82-2.92
S: 0.1634 0.4615 0.5922  2 Hf 2.49-2.61, 1 Dy 2.78
Dy: 0.5259 0.4974 0.6783  8 S 2.78-2.92
Dy: 0.9741 0.0026 0.1783  8 S 2.78-2.92
Dy: 0.0259 0.5026 0.8217  8 S 2.78-2.92
Dy: 0.5259 0.0026 0.6783  8 S 2.78-2.92
Dy: 0.0259 0.9974 0.8217  8 S 2.78-2.92
Dy: 0.4741 0.5026 0.3217  8 S 2.78-2.92
Dy: 0.4741 0.9974 0.3217  8 S 2.78-2.92
Dy: 0.9741 0.4974 0.1783  8 S 2.78-2.92
Hf: 0.9231 0.2500 0.4933  7 S 2.49-2.66
Hf: 0.0769 0.7500 0.5067  7 S 2.49-2.66
Hf: 0.4231 0.7500 0.0067  7 S 2.49-2.66
Hf: 0.5769 0.2500 0.9933  7 S 2.49-2.66



(4)
First-principles (PBEsol) data for PrMgZn2 after structural relaxation, as listed in the Alexandria database.

Output
* symmetry: Fm-3m, No. 225
* formation energy: -1.3 eV/f.u.

Cell lengths 4.8861, 4.8861, 4.8861 Å; angles 60.00, 60.00, 60.00 degrees
Last column: nearest neighbours and their distance in Å.
Sites, in units of the cell vectors:
Mg: 0.5000 0.5000 0.5000  8 Zn 2.99
Zn: 0.2500 0.2500 0.2500  4 Pr 2.99, 4 Mg 2.99
Zn: 0.7500 0.7500 0.7500  4 Mg 2.99, 4 Pr 2.99
Pr: 0.0000 0.0000 0.0000  8 Zn 2.99



(5)
First-principles (PBEsol) data for HfZn3 after structural relaxation, as listed in the Alexandria database.

Output
* symmetry: P6_3/mmc, No. 194
* formation energy: -0.9 eV/f.u.

Cell lengths 4.3065, 5.7354, 5.7354 Å; angles 120.00, 90.00, 90.00 degrees
Last column: nearest neighbours and their distance in Å.
Sites, in units of the cell vectors:
Zn: 0.7500 0.8413 0.6826  6 Zn 2.67-2.73, 4 Hf 2.77-2.87
Zn: 0.7500 0.8413 0.1587  6 Zn 2.67-2.73, 4 Hf 2.77-2.87
Zn: 0.7500 0.3174 0.1587  6 Zn 2.67-2.73, 4 Hf 2.77-2.87
Zn: 0.2500 0.6826 0.8413  6 Zn 2.67-2.73, 4 Hf 2.77-2.87
Zn: 0.2500 0.1587 0.3174  6 Zn 2.67-2.73, 4 Hf 2.77-2.87
Zn: 0.2500 0.1587 0.8413  6 Zn 2.67-2.73, 4 Hf 2.77-2.87
Hf: 0.2500 0.6667 0.3333  12 Zn 2.77-2.87
Hf: 0.7500 0.3333 0.6667  12 Zn 2.77-2.87



(6)
First-principles (PBEsol) data for IrCF2 after structural relaxation, as listed in the Alexandria database.

Output
* raw formation energy: 1.515 eV per atom
* symmetry: Fm-3m, No. 225

Cell lengths 3.8717, 3.8717, 3.8717 Å; angles 60.00, 60.00, 60.00 degrees
Last column: nearest neighbours and their distance in Å.
Sites, in units of the cell vectors:
F: 0.2500 0.2500 0.2500  4 Ir 2.37, 4 C 2.37
F: 0.7500 0.7500 0.7500  4 Ir 2.37, 4 C 2.37
C: 0.0000 0.0000 0.0000  8 F 2.37
Ir: 0.5000 0.5000 0.5000  8 F 2.37



The records above yield energy values of -17.2; -38.3; -232.5; -11.4; -32.3; -17.3 eV for the cell shown, respectively.